a:
# SiAgTe2

A geometry-optimized SiAgTe2 structure (GGA-PBE, the Alexandria database).

abc: 3.1103 3.1103 34.8615
angles: 90.00 90.00 120.00
Last column: nearest neighbours and their distance in Å.
Space group R-3m (No. 166, hexagonal axes)
Inequivalent atoms, fractional coordinates:
Si 0.0000 0.0000 0.0000 [3 per cell]  2 Te 2.93, 6 Si 3.11
Ag 0.0000 0.0000 0.5000 [3 per cell]  6 Ag 3.11, 6 Te 3.39
Te 0.0000 0.0000 0.0841 [6 per cell]  1 Si 2.93, 6 Te 3.11

Values from the calculation:
Total moment   0.0 Bohr magnetons per cell

***

b:
# SiAgTe2

A geometry-optimized SiAgTe2 structure (GGA-PBE, the Alexandria database).

abc: 8.1280 8.1361 3.0669
angles: 90.00 90.78 90.00
Last column: nearest neighbours and their distance in Å.
Space group C2/m (No. 12)
Inequivalent atoms, fractional coordinates:
Si 0.0000 0.0000 0.0000 [2 per cell]  4 Te 2.88, 2 Si 3.07
Ag 0.0000 0.5000 0.0000 [2 per cell]  4 Te 2.88, 2 Ag 3.07
Te 0.2500 0.2500 0.0000 [4 per cell]  2 Si 2.88, 2 Ag 2.88, 2 Te 3.07

Values from the calculation:
Total moment   0.0 Bohr magnetons per cell

***

c:
# SiAgTe2

A geometry-optimized SiAgTe2 structure (GGA-PBE, the Alexandria database).

abc: 3.9710 3.9710 21.8170
angles: 90.00 90.00 120.00
Last column: nearest neighbours and their distance in Å.
Space group R3m (No. 160, hexagonal axes)
Inequivalent atoms, fractional coordinates:
Si 0.0000 0.0000 0.0000 [3 per cell]  6 Te 2.82
Ag 0.0000 0.0000 0.8308 [3 per cell]  6 Te 3.01-3.08
Te 0.0000 0.0000 0.4082 [3 per cell]  3 Si 2.82, 3 Ag 3.01
Te 0.0000 0.0000 0.5917 [3 per cell]  3 Si 2.82, 3 Ag 3.08

Values from the calculation:
Total moment   0.0 Bohr magnetons per cell

***

d:
# SiAgTe2

A geometry-optimized SiAgTe2 structure (GGA-PBE, the Alexandria database).

abc: 3.8177 8.0412 8.5916
angles: 90.00 90.00 90.00
Last column: nearest neighbours and their distance in Å.
Space group Immm (No. 71)
Inequivalent atoms, fractional coordinates:
Si 0.0000 0.0000 0.0000 [2 per cell]  4 Te 2.70
Ag 0.0000 0.5000 0.0000 [2 per cell]  4 Te 2.85
Te 0.0000 0.2634 0.5000 [4 per cell]  2 Si 2.70, 2 Ag 2.85

Values from the calculation:
Total moment   0.0 Bohr magnetons per cell

***

It turns out c is the most stable, with the second structure 101 meV/atom higher.

***

a:
# Si2AgTe4

A geometry-optimized Si2AgTe4 structure (GGA-PBE, the Alexandria database).

abc: 8.2570 8.2570 6.5879
angles: 90.00 90.00 90.00
Last column: nearest neighbours and their distance in Å.
Space group I4/m (No. 87)
Inequivalent atoms, fractional coordinates:
Si 0.0000 0.5000 0.2500 [4 per cell]  4 Te 2.61
Ag 0.0000 0.0000 0.0000 [2 per cell]  4 Te 2.95
Te 0.1646 0.3174 0.0000 [8 per cell]  2 Si 2.61

Values from the calculation:
Total moment   0.0 Bohr magnetons per cell

***

b:
# Si2AgTe4

A geometry-optimized Si2AgTe4 structure (GGA-PBE, the Alexandria database).

abc: 6.0320 6.0320 6.2054
angles: 90.00 90.00 90.00
Last column: nearest neighbours and their distance in Å.
Space group P-42m (No. 111)
Inequivalent atoms, fractional coordinates:
Si 0.0000 0.5000 0.0000 [2 per cell]  4 Te 2.63
Ag 0.0000 0.0000 0.5000 [1 per cell]  4 Te 2.78
Te 0.2688 0.2688 0.7543 [4 per cell]  2 Si 2.63, 1 Ag 2.78

Values from the calculation:
Total moment   0.0 Bohr magnetons per cell

***

It turns out a is the most stable, with the second structure 15 meV/atom higher.

***

a:
# SiAg3Te

A geometry-optimized SiAg3Te structure (GGA-PBE, the Alexandria database).

abc: 4.8873 4.8873 4.8873
angles: 90.00 90.00 90.00
Last column: nearest neighbours and their distance in Å.
Space group Pm-3m (No. 221)
Inequivalent atoms, fractional coordinates:
Si 0.0000 0.0000 0.0000 [1 per cell]  6 Ag 2.44
Ag 0.0000 0.0000 0.5000 [3 per cell]  2 Si 2.44
Te 0.5000 0.5000 0.5000 [1 per cell]  12 Ag 3.46

Values from the calculation:
Total moment   0.0 Bohr magnetons per cell

***

b:
# SiAg3Te

A geometry-optimized SiAg3Te structure (GGA-PBE, the Alexandria database).

abc: 5.2804 5.2804 5.2804
angles: 90.00 90.00 90.00
Last column: nearest neighbours and their distance in Å.
Space group Pm-3m (No. 221)
Inequivalent atoms, fractional coordinates:
Si 0.0000 0.0000 0.0000 [1 per cell]  12 Ag 3.73
Ag 0.0000 0.5000 0.5000 [3 per cell]  2 Te 2.64
Te 0.5000 0.5000 0.5000 [1 per cell]  6 Ag 2.64

Values from the calculation:
Total moment   0.0 Bohr magnetons per cell

***

It turns out a is the most stable, with the second structure 442 meV/atom higher.